Entry 1:
Entry from the Alexandria database: an optimized crystal structure of ReOsRu2 (PBE-GGA).

E above lowest polymorph	0.145	eV per atom

CIF file:
```
data_ReOsRu2
_cell_length_a 9.031
_cell_length_b 2.724
_cell_length_c 4.722
_cell_angle_alpha 90.00
_cell_angle_beta 100.06
_cell_angle_gamma 90.00
_symmetry_space_group_name_H-M 'C 1 m 1'
_symmetry_Int_Tables_number 8
loop_
_symmetry_equiv_pos_as_xyz
'x,y,z'
'x,-y,z'
'x+1/2,y+1/2,z'
'x+1/2,-y+1/2,z'
loop_
_atom_site_label
_atom_site_fract_x
_atom_site_fract_y
_atom_site_fract_z
_atom_site_occupancy
Re1 0.000 0.000 0.000 1
Os1 0.250 0.000 0.750 1
Ru1 0.002 0.500 0.503 1
Ru2 0.249 0.500 0.247 1
```

=====

Entry 2:
Entry from the Alexandria database: an optimized crystal structure of ReOs2Ru (PBE-GGA).

E above lowest polymorph	1.385	eV per atom

CIF file:
```
data_ReOs2Ru
_cell_length_a 5.596
_cell_length_b 5.596
_cell_length_c 11.005
_cell_angle_alpha 90.00
_cell_angle_beta 90.00
_cell_angle_gamma 90.00
_symmetry_space_group_name_H-M 'I -4 2 d'
_symmetry_Int_Tables_number 122
_symmetry_space_group_name_Hall 'I -4 2bw'
loop_
_atom_site_label
_atom_site_fract_x
_atom_site_fract_y
_atom_site_fract_z
_atom_site_occupancy
Re1 0.000 0.000 0.000 1
Os1 0.246 0.250 0.625 1
Ru1 0.000 0.000 0.500 1
```

=====

Entry 3:
Entry from the Alexandria database: an optimized crystal structure of Re2OsRu (PBE-GGA).

E above lowest polymorph	0.161	eV per atom

CIF file:
```
data_Re2OsRu
_cell_length_a 2.7428
_cell_length_b 2.7428
_cell_length_c 26.8807
_cell_angle_alpha 90.00
_cell_angle_beta 90.00
_cell_angle_gamma 120.00
_symmetry_space_group_name_H-M 'R 3 m'
_symmetry_Int_Tables_number 160
_symmetry_space_group_name_Hall 'R 3 -2"'
loop_
_atom_site_label
_atom_site_fract_x
_atom_site_fract_y
_atom_site_fract_z
_atom_site_occupancy
Re1 0.0000 0.0000 0.0000 1
Re2 0.0000 0.0000 0.2472 1
Os1 0.0000 0.0000 0.7485 1
Ru1 0.0000 0.0000 0.4991 1
```

=====

Entry 4:
Entry from the Alexandria database: an optimized crystal structure of Re2Os6Ru (PBE-GGA).

CIF file:
```
data_Re2Os6Ru
_cell_length_a 15.317
_cell_length_b 2.735
_cell_length_c 7.510
_cell_angle_alpha 90.00
_cell_angle_beta 119.23
_cell_angle_gamma 90.00
_symmetry_space_group_name_H-M 'C 1 2/m 1'
_symmetry_Int_Tables_number 12
loop_
_symmetry_equiv_pos_as_xyz
'x,y,z'
'-x,-y,-z'
'-x,y,-z'
'x,-y,z'
'x+1/2,y+1/2,z'
'-x+1/2,-y+1/2,-z'
'-x+1/2,y+1/2,-z'
'x+1/2,-y+1/2,z'
loop_
_atom_site_label
_atom_site_fract_x
_atom_site_fract_y
_atom_site_fract_z
_atom_site_occupancy
Re1 0.169 0.000 0.161 1
Os1 0.008 0.000 0.176 1
Os2 0.147 0.500 0.826 1
Os3 0.187 0.000 0.546 1
Ru1 0.000 0.000 0.500 1
```

=====

Entry 5:
Entry from the Alexandria database: an optimized crystal structure of Re4Os2Ru3 (PBE-GGA).

CIF file:
```
data_Re4Os2Ru3
_cell_length_a 4.781
_cell_length_b 7.044
_cell_length_c 8.507
_cell_angle_alpha 108.48
_cell_angle_beta 106.17
_cell_angle_gamma 90.00
_symmetry_space_group_name_H-M 'P -1'
_symmetry_Int_Tables_number 2
loop_
_symmetry_equiv_pos_as_xyz
'x,y,z'
'-x,-y,-z'
loop_
_atom_site_label
_atom_site_fract_x
_atom_site_fract_y
_atom_site_fract_z
_atom_site_occupancy
Re1 0.055 0.469 0.276 1
Re2 0.165 0.077 0.164 1
Re3 0.167 0.253 0.504 1
Re4 0.390 0.799 0.941 1
Os1 0.278 0.863 0.391 1
Os2 0.499 0.585 0.167 1
Ru1 0.056 0.305 0.941 1
Ru2 0.275 0.025 0.721 1
Ru3 0.386 0.639 0.610 1
```

=====

Entry 6:
Entry from the Alexandria database: an optimized crystal structure of Re2OsRu (PBE-GGA).

E above lowest polymorph	0.550	eV per atom

CIF file:
```
data_Re2OsRu
_cell_length_a 2.849
_cell_length_b 4.576
_cell_length_c 9.112
_cell_angle_alpha 90.00
_cell_angle_beta 90.00
_cell_angle_gamma 90.00
_symmetry_space_group_name_H-M 'C m m m'
_symmetry_Int_Tables_number 65
_symmetry_space_group_name_Hall '-C 2 2'
loop_
_atom_site_label
_atom_site_fract_x
_atom_site_fract_y
_atom_site_fract_z
_atom_site_occupancy
Re1 0.000 0.000 0.248 1
Os1 0.000 0.500 0.500 1
Ru1 0.000 0.500 0.000 1
```

=====

Entry 7:
Entry from the Alexandria database: an optimized crystal structure of Re2OsRu (PBE-GGA).

E above lowest polymorph	0.296	eV per atom

CIF file:
```
data_Re2OsRu
_cell_length_a 5.080
_cell_length_b 9.214
_cell_length_c 5.111
_cell_angle_alpha 90.00
_cell_angle_beta 94.98
_cell_angle_gamma 90.00
_symmetry_space_group_name_H-M 'P 1 21/c 1'
_symmetry_Int_Tables_number 14
loop_
_symmetry_equiv_pos_as_xyz
'x,y,z'
'-x,-y,-z'
'-x,y+1/2,-z+1/2'
'x,-y+1/2,z+1/2'
loop_
_atom_site_label
_atom_site_fract_x
_atom_site_fract_y
_atom_site_fract_z
_atom_site_occupancy
Re1 0.001 0.230 0.045 1
Re2 0.459 0.703 0.193 1
Os1 0.191 0.514 0.827 1
Ru1 0.313 0.052 0.839 1
```

=====

Entry 8:
Entry from the Alexandria database: an optimized crystal structure of Re2Os2Ru5 (PBE-GGA).

CIF file:
```
data_Re2Os2Ru5
_cell_length_a 8.998
_cell_length_b 4.295
_cell_length_c 7.234
_cell_angle_alpha 90.00
_cell_angle_beta 105.45
_cell_angle_gamma 90.00
_symmetry_space_group_name_H-M 'C 1 2/m 1'
_symmetry_Int_Tables_number 12
loop_
_symmetry_equiv_pos_as_xyz
'x,y,z'
'-x,-y,-z'
'-x,y,-z'
'x,-y,z'
'x+1/2,y+1/2,z'
'-x+1/2,-y+1/2,-z'
'-x+1/2,y+1/2,-z'
'x+1/2,-y+1/2,z'
loop_
_atom_site_label
_atom_site_fract_x
_atom_site_fract_y
_atom_site_fract_z
_atom_site_occupancy
Re1 0.227 0.000 0.383 1
Os1 0.183 0.500 0.944 1
Ru1 0.000 0.000 0.000 1
Ru2 0.084 0.500 0.265 1
Ru3 0.104 0.000 0.693 1
```

=====

Theoretical density values, unit Mg/m³, following the record order: 16.8, 12.9, 18.9, 19.5, 18.3, 18.6, 18.5, 15.5.
Calculated total energy values, unit eV/atom, following the record order: -10.486, -9.726, -11.280, -10.788, -11.186, -10.892, -11.145, -10.132.